This record from Alexandria via LeMat-Bulk describes TaNi2TeSe after structural relaxation. The functional is PBE.

Magnetization: 0.000 Bohr magnetons per cell
Space group: Pnma (62)
Formation energy from raw total energies: -472 meV/atom
DOS at the Fermi energy: 14.055 states/eV per cell

Unit cell a=3.4717 b=6.5597 c=17.5587 alpha=90.00 beta=90.00 gamma=90.00
Fractional positions:
Ta: 0.2500 0.9065 0.7244
Ta: 0.7500 0.0935 0.2756
Ta: 0.2500 0.4065 0.7756
Ta: 0.7500 0.5935 0.2244
Ni: 0.7500 0.5993 0.6841
Ni: 0.2500 0.4007 0.3159
Ni: 0.2500 0.9007 0.1841
Ni: 0.2500 0.7861 0.3161
Ni: 0.7500 0.7139 0.8161
Ni: 0.7500 0.0993 0.8159
Ni: 0.7500 0.2139 0.6839
Ni: 0.2500 0.2861 0.1839
Te: 0.2500 0.9066 0.8965
Te: 0.7500 0.5934 0.3965
Te: 0.7500 0.0934 0.1035
Te: 0.2500 0.4066 0.6035
Se: 0.7500 0.9066 0.6097
Se: 0.2500 0.5934 0.1097
Se: 0.7500 0.4066 0.8903
Se: 0.2500 0.0934 0.3903